This record from the Alexandria database describes a relaxed TiFeN2F crystal. The functional is PBE+U.

Calculated values
Polymorph energy (0 for the lowest one)   0 meV per atom
Density   4.1 g cm⁻³
D(E_F)   1.80 states/eV/f.u.
Symmetry   P4/mmm (123)
M_tot   3.70 μB/f.u.
Crystal system   tetragonal
Uncorrected energy   -34.83 eV/cell

Cell lengths 3.9371, 3.9371, 3.8907 Å; angles 90.00, 90.00, 90.00 degrees
Closest atoms and distances in Å follow each position.
Element x y z (fractional)
Fe: 0.5000 0.5000 0.5000  8 N 2.77, 4 F 2.78
Ti: 0.0000 0.0000 0.0000  2 F 1.95, 4 N 1.97
N: 0.5000 0.0000 0.0000  2 Ti 1.97
N: 0.0000 0.5000 0.0000  2 Ti 1.97
F: 0.0000 0.0000 0.5000  2 Ti 1.95